[1]
K2Pm2Br7, optimized geometry, DFT PBE-GGA; density = 3.82 Mg/m³; D(E_F) = 3.677 states/eV/f.u.; electronic total energy = -3.826 eV per atom; distance to the lowest polymorph of the same formula = 0 meV per atom; energy relative to the elements, uncorrected = -1.698 eV/atom
1.0
4.7775 -5.4555 0.0000
4.7775 5.4555 0.0000
0.0000 0.0000 7.7412
K Pm Br
2 2 7
Direct
0.2425 0.2425 0.0000
0.7575 0.7575 0.0000
0.2788 0.7212 0.5000
0.7212 0.2788 0.5000
0.0000 0.0000 0.5000
0.0000 0.5000 0.2611
0.0000 0.5000 0.7389
0.5000 0.0000 0.2611
0.5000 0.0000 0.7389
0.5000 0.5000 0.2739
0.5000 0.5000 0.7261

[2]
K4PmBr6, optimized geometry, DFT PBE-GGA; density = 3.16 Mg/m³; D(E_F) = 5.587 states/eV/f.u.; electronic total energy = -3.373 eV per atom; energy relative to the elements, uncorrected = -1.630 eV/atom
1.0
9.2596 0.0000 0.0000
0.0000 9.2596 0.0000
0.0000 0.0000 9.5627
K Pm Br
8 2 12
Direct
0.1725 0.3275 0.2500
0.1725 0.3275 0.7500
0.3275 0.8275 0.2500
0.3275 0.8275 0.7500
0.6725 0.1725 0.2500
0.6725 0.1725 0.7500
0.8275 0.6725 0.2500
0.8275 0.6725 0.7500
0.0000 0.0000 0.0000
0.5000 0.5000 0.5000
0.0000 0.0000 0.3015
0.0000 0.0000 0.6985
0.0999 0.6916 0.0000
0.1916 0.5999 0.5000
0.3084 0.0999 0.0000
0.4001 0.1916 0.5000
0.5000 0.5000 0.1985
0.5000 0.5000 0.8015
0.5999 0.8084 0.5000
0.6916 0.9001 0.0000
0.8084 0.4001 0.5000
0.9001 0.3084 0.0000

[3]
KPm2Br7, optimized geometry, DFT PBE-GGA; density = 3.80 Mg/m³; D(E_F) = 0.000 states/eV/f.u.; electronic total energy = -4.050 eV per atom; energy relative to the elements, uncorrected = -1.819 eV/atom
1.0
4.5990 -7.3589 0.0000
4.5990 7.3589 0.0000
0.0000 0.0000 5.7358
K Pm Br
1 2 7
Direct
0.0000 0.0000 0.0000
0.3020 0.6980 0.5000
0.6980 0.3020 0.5000
0.0500 0.3249 0.5000
0.2913 0.7087 0.0000
0.3249 0.0500 0.5000
0.5000 0.5000 0.5000
0.6751 0.9500 0.5000
0.7087 0.2913 0.0000
0.9500 0.6751 0.5000

[4]
KPmBr4, optimized geometry, DFT PBE-GGA; density = 3.35 Mg/m³; D(E_F) = 0.000 states/eV/f.u.; electronic total energy = -3.911 eV per atom; distance to the lowest polymorph of the same formula = 5 meV per atom; energy relative to the elements, uncorrected = -1.821 eV/atom
1.0
10.3038 0.0000 0.0000
0.0000 10.8266 0.0000
0.0000 0.0000 4.4803
K Pm Br
2 2 8
Direct
0.0000 0.0000 0.0000
0.5000 0.5000 0.0000
0.0000 0.5000 0.5000
0.5000 0.0000 0.5000
0.0000 0.3228 0.0000
0.0000 0.6772 0.0000
0.2261 0.0000 0.5000
0.2739 0.5000 0.5000
0.5000 0.1772 0.0000
0.5000 0.8228 0.0000
0.7261 0.5000 0.5000
0.7739 0.0000 0.5000

[5]
K3PmBr6, optimized geometry, DFT PBE-GGA; density = 2.94 Mg/m³; D(E_F) = 0.000 states/eV/f.u.; electronic total energy = -3.637 eV per atom; distance to the lowest polymorph of the same formula = 0 meV per atom; energy relative to the elements, uncorrected = -1.829 eV/atom
1.0
6.7500 3.8971 5.3048
-6.7500 3.8971 5.3048
0.0000 -7.7942 5.3048
K Pm Br
6 2 12
Direct
0.0723 0.5778 0.7515
0.2485 0.9277 0.4222
0.4222 0.2485 0.9277
0.5778 0.7515 0.0723
0.7515 0.0723 0.5778
0.9277 0.4222 0.2485
0.0000 0.0000 0.0000
0.5000 0.5000 0.5000
0.0483 0.9250 0.7067
0.0750 0.2933 0.9517
0.2097 0.5660 0.4244
0.2933 0.9517 0.0750
0.4244 0.2097 0.5660
0.4340 0.5756 0.7903
0.5660 0.4244 0.2097
0.5756 0.7903 0.4340
0.7067 0.0483 0.9250
0.7903 0.4340 0.5756
0.9250 0.7067 0.0483
0.9517 0.0750 0.2933

[6]
K3PmBr6, optimized geometry, DFT PBE-GGA; density = 3.20 Mg/m³; D(E_F) = 0.000 states/eV/f.u.; electronic total energy = -3.634 eV per atom; distance to the lowest polymorph of the same formula = 3 meV per atom; energy relative to the elements, uncorrected = -1.826 eV/atom
1.0
7.9512 0.0000 0.0000
0.0000 8.4915 0.0000
-7.6592 0.0000 11.4188
K Pm Br
6 2 12
Direct
0.0000 0.0000 0.0000
0.0000 0.5000 0.5000
0.2086 0.0789 0.7404
0.2086 0.4211 0.2404
0.7914 0.5789 0.7596
0.7914 0.9211 0.2596
0.5000 0.0000 0.5000
0.5000 0.5000 0.0000
0.1484 0.1813 0.4399
0.1484 0.3187 0.9399
0.2511 0.7185 0.4195
0.2511 0.7815 0.9195
0.4066 0.0604 0.2681
0.4066 0.4396 0.7681
0.5934 0.5604 0.2319
0.5934 0.9396 0.7319
0.7489 0.2185 0.0805
0.7489 0.2815 0.5805
0.8516 0.6813 0.0601
0.8516 0.8187 0.5601

[7]
KPm2Br8, optimized geometry, DFT PBE-GGA; density = 4.29 Mg/m³; D(E_F) = 4.805 states/eV/f.u.; electronic total energy = -3.841 eV per atom; energy relative to the elements, uncorrected = -1.661 eV/atom
1.0
4.5489 -7.2806 0.0000
4.5489 7.2806 0.0000
-0.0305 0.0000 5.6637
K Pm Br
1 2 8
Direct
0.0000 0.0000 0.0000
0.3022 0.6978 0.5000
0.6978 0.3022 0.5000
0.0579 0.3259 0.5028
0.2574 0.7426 0.0000
0.3259 0.0579 0.5028
0.4978 0.4978 0.2475
0.5022 0.5022 0.7525
0.6741 0.9421 0.4972
0.7426 0.2574 0.0000
0.9421 0.6741 0.4972

[8]
KRb2PmBr6, optimized geometry, DFT PBE-GGA; density = 3.40 Mg/m³; D(E_F) = 0.000 states/eV/f.u.; electronic total energy = -3.622 eV per atom; energy relative to the elements, uncorrected = -1.839 eV/atom
1.0
8.1390 0.0000 0.0000
0.0000 8.6077 0.0000
-7.9215 0.0000 11.6244
K Rb Pm Br
2 4 2 12
Direct
0.0000 0.0000 0.0000
0.0000 0.5000 0.5000
0.2172 0.0741 0.7449
0.2172 0.4259 0.2449
0.7828 0.5741 0.7551
0.7828 0.9259 0.2551
0.5000 0.0000 0.5000
0.5000 0.5000 0.0000
0.1611 0.1836 0.4467
0.1611 0.3164 0.9467
0.2590 0.7214 0.4339
0.2590 0.7786 0.9339
0.3849 0.0432 0.2667
0.3849 0.4568 0.7667
0.6151 0.5432 0.2333
0.6151 0.9568 0.7333
0.7410 0.2214 0.0661
0.7410 0.2786 0.5661
0.8389 0.6836 0.0533
0.8389 0.8164 0.5533

[9]
KSrPmBr6, optimized geometry, DFT PBE-GGA; density = 3.37 Mg/m³; D(E_F) = 0.000 states/eV/f.u.; electronic total energy = -3.901 eV per atom; energy relative to the elements, uncorrected = -1.949 eV/atom
1.0
7.7813 0.0000 0.0000
-3.8907 6.7388 0.0000
0.0000 0.0000 14.1145
K Sr Pm Br
2 2 2 12
Direct
0.0000 0.0000 0.0000
0.0000 0.0000 0.5000
0.3333 0.6667 0.2500
0.6667 0.3333 0.7500
0.3333 0.6667 0.7500
0.6667 0.3333 0.2500
0.0175 0.3728 0.6330
0.0175 0.6447 0.8670
0.3553 0.3728 0.8670
0.3553 0.9825 0.6330
0.3728 0.0175 0.1330
0.3728 0.3553 0.3670
0.6272 0.6447 0.6330
0.6272 0.9825 0.8670
0.6447 0.0175 0.3670
0.6447 0.6272 0.1330
0.9825 0.3553 0.1330
0.9825 0.6272 0.3670

[10]
KPmTl2Br6, optimized geometry, DFT PBE-GGA; density = 4.61 Mg/m³; D(E_F) = 0.000 states/eV/f.u.; electronic total energy = -3.528 eV per atom; energy relative to the elements, uncorrected = -1.467 eV/atom
1.0
7.8347 0.0000 0.0000
0.0000 8.6410 0.0000
-7.2538 0.0000 11.4142
K Pm Tl Br
2 2 4 12
Direct
0.0000 0.0000 0.0000
0.0000 0.5000 0.5000
0.5000 0.0000 0.5000
0.5000 0.5000 0.0000
0.2026 0.0758 0.7282
0.2026 0.4242 0.2282
0.7974 0.5758 0.7718
0.7974 0.9242 0.2718
0.1496 0.1712 0.4553
0.1496 0.3288 0.9553
0.2525 0.7235 0.4166
0.2525 0.7765 0.9166
0.4021 0.0664 0.2657
0.4021 0.4336 0.7657
0.5979 0.5664 0.2343
0.5979 0.9336 0.7343
0.7475 0.2235 0.0834
0.7475 0.2765 0.5834
0.8504 0.6712 0.0447
0.8504 0.8288 0.5447

[11]
KPrBr3, optimized geometry, DFT PBE-GGA; density = 3.45 Mg/m³; D(E_F) = 3.574 states/eV/f.u.; electronic total energy = -3.726 eV per atom; energy relative to the elements, uncorrected = -1.547 eV/atom
1.0
5.8699 0.0000 0.0000
0.0000 5.8699 0.0000
0.0000 0.0000 5.8699
K Pr Br
1 1 3
Direct
0.0000 0.0000 0.0000
0.5000 0.5000 0.5000
0.0000 0.5000 0.5000
0.5000 0.0000 0.5000
0.5000 0.5000 0.0000

[12]
KPr2Br7, optimized geometry, DFT PBE-GGA; density = 3.63 Mg/m³; D(E_F) = 0.000 states/eV/f.u.; electronic total energy = -4.061 eV per atom; energy relative to the elements, uncorrected = -1.824 eV/atom
1.0
4.6518 -7.4369 0.0000
4.6518 7.4369 0.0000
0.0000 0.0000 5.8128
K Pr Br
1 2 7
Direct
0.0000 0.0000 0.0000
0.3017 0.6983 0.5000
0.6983 0.3017 0.5000
0.0512 0.3245 0.5000
0.2855 0.7145 0.0000
0.3245 0.0512 0.5000
0.5000 0.5000 0.5000
0.6755 0.9488 0.5000
0.7145 0.2855 0.0000
0.9488 0.6755 0.5000

[13]
KPrBr4, optimized geometry, DFT PBE-GGA; density = 3.77 Mg/m³; D(E_F) = 0.000 states/eV/f.u.; electronic total energy = -3.892 eV per atom; distance to the lowest polymorph of the same formula = 0 meV per atom; energy relative to the elements, uncorrected = -1.797 eV/atom
1.0
4.9824 -7.1199 0.0000
4.9824 7.1199 0.0000
-4.0659 0.0000 6.2046
K Pr Br
2 2 8
Direct
0.1376 0.8624 0.7500
0.8624 0.1376 0.2500
0.4945 0.5055 0.2500
0.5055 0.4945 0.7500
0.1640 0.2860 0.7921
0.2337 0.5554 0.4318
0.2860 0.1640 0.2921
0.4446 0.7663 0.0682
0.5554 0.2337 0.9318
0.7140 0.8360 0.7079
0.7663 0.4446 0.5682
0.8360 0.7140 0.2079

[14]
KPr2Br6, optimized geometry, DFT PBE-GGA; density = 4.08 Mg/m³; D(E_F) = 0.839 states/eV/f.u.; electronic total energy = -4.044 eV per atom; energy relative to the elements, uncorrected = -1.745 eV/atom
1.0
4.9599 0.0000 0.0000
0.0000 6.0023 5.4749
0.0000 -6.0023 5.4749
K Pr Br
1 2 6
Direct
0.0000 0.0000 0.0000
0.5000 0.4861 0.8081
0.5000 0.8081 0.4861
0.0000 0.3943 0.9900
0.0000 0.7014 0.7014
0.0000 0.9900 0.3943
0.5000 0.0987 0.7510
0.5000 0.4446 0.4446
0.5000 0.7510 0.0987

[15]
K5Pr3Br12, optimized geometry, DFT PBE-GGA; density = 3.32 Mg/m³; D(E_F) = 9.732 states/eV/f.u.; electronic total energy = -3.536 eV per atom; energy relative to the elements, uncorrected = -1.541 eV/atom
1.0
-9.2371 9.2371 9.2371
9.2371 -9.2371 9.2371
9.2371 9.2371 -9.2371
K Pr Br
20 12 48
Direct
0.0000 0.0000 0.0000
0.0000 0.0000 0.5000
0.0000 0.5000 0.0000
0.0000 0.5000 0.5000
0.1250 0.7500 0.8750
0.1250 0.8750 0.2500
0.2500 0.1250 0.8750
0.2500 0.6250 0.3750
0.3750 0.2500 0.6250
0.3750 0.6250 0.7500
0.5000 0.0000 0.0000
0.5000 0.0000 0.5000
0.5000 0.5000 0.0000
0.5000 0.5000 0.5000
0.6250 0.3750 0.2500
0.6250 0.7500 0.3750
0.7500 0.3750 0.6250
0.7500 0.8750 0.1250
0.8750 0.1250 0.7500
0.8750 0.2500 0.1250
0.1250 0.2500 0.3750
0.1250 0.3750 0.7500
0.2500 0.3750 0.1250
0.2500 0.8750 0.6250
0.3750 0.1250 0.2500
0.3750 0.7500 0.1250
0.6250 0.2500 0.8750
0.6250 0.8750 0.7500
0.7500 0.1250 0.3750
0.7500 0.6250 0.8750
0.8750 0.6250 0.2500
0.8750 0.7500 0.6250
0.0594 0.6266 0.3886
0.0594 0.9329 0.6708
0.0671 0.2380 0.1266
0.0671 0.3292 0.9406
0.1114 0.7380 0.6708
0.1114 0.8734 0.4406
0.1266 0.0671 0.2380
0.1266 0.5594 0.8886
0.1708 0.2380 0.6114
0.1708 0.4329 0.5594
0.2380 0.1266 0.0671
0.2380 0.6114 0.1708
0.2620 0.3292 0.8886
0.2620 0.4329 0.3734
0.3292 0.8886 0.2620
0.3292 0.9406 0.0671
0.3734 0.2620 0.4329
0.3734 0.6114 0.9406
0.3886 0.0594 0.6266
0.3886 0.8292 0.7620
0.4329 0.3734 0.2620
0.4329 0.5594 0.1708
0.4406 0.1114 0.8734
0.4406 0.8292 0.5671
0.5594 0.1708 0.4329
0.5594 0.8886 0.1266
0.5671 0.4406 0.8292
0.5671 0.6266 0.7380
0.6114 0.1708 0.2380
0.6114 0.9406 0.3734
0.6266 0.3886 0.0594
0.6266 0.7380 0.5671
0.6708 0.0594 0.9329
0.6708 0.1114 0.7380
0.7380 0.5671 0.6266
0.7380 0.6708 0.1114
0.7620 0.3886 0.8292
0.7620 0.8734 0.9329
0.8292 0.5671 0.4406
0.8292 0.7620 0.3886
0.8734 0.4406 0.1114
0.8734 0.9329 0.7620
0.8886 0.1266 0.5594
0.8886 0.2620 0.3292
0.9329 0.6708 0.0594
0.9329 0.7620 0.8734
0.9406 0.0671 0.3292
0.9406 0.3734 0.6114

[16]
KPrBr3, optimized geometry, DFT PBE-GGA; density = 4.09 Mg/m³; D(E_F) = 0.741 states/eV/f.u.; electronic total energy = -3.867 eV per atom; energy relative to the elements, uncorrected = -1.688 eV/atom
1.0
9.6028 0.0000 0.0000
0.0000 4.1685 0.0000
0.0000 0.0000 17.0157
K Pr Br
4 4 12
Direct
0.0933 0.2500 0.1877
0.4067 0.7500 0.6877
0.5933 0.2500 0.3123
0.9067 0.7500 0.8123
0.1469 0.7500 0.4594
0.3531 0.2500 0.9594
0.6469 0.7500 0.0406
0.8531 0.2500 0.5406
0.0322 0.7500 0.6276
0.1600 0.7500 0.0277
0.1972 0.2500 0.8067
0.3028 0.7500 0.3067
0.3400 0.2500 0.5277
0.4678 0.2500 0.1276
0.5322 0.7500 0.8724
0.6600 0.7500 0.4723
0.6972 0.2500 0.6933
0.8028 0.7500 0.1933
0.8400 0.2500 0.9723
0.9678 0.2500 0.3724